1.
First-principles (PBE) data for crystalline TiSn2Rh4 at its relaxed geometry, as listed in Alexandria.

The structure belongs to space group I4/mmm (No. 139); the cell edges are 4.547, 4.547 and 13.453 Å and the angles 90.00°, 90.00° and 90.00°. Symmetry generates all atoms from Ti at (0.000, 0.000, 0.000), Sn at (0.000, 0.000, 0.369), Rh at (0.000, 0.000, 0.175) and Rh at (0.000, 0.500, 0.000).

The calculation puts the offset from the most stable computed form at 0.711 eV/atom.

2.
First-principles (PBE) data for crystalline TiSnRh2 at its relaxed geometry, as listed in Alexandria.

The structure belongs to space group I-42d (No. 122); the cell edges are 7.030, 7.030 and 5.745 Å and the angles 90.00°, 90.00° and 90.00°. Symmetry generates all atoms from Ti at (0.000, 0.000, 0.000), Sn at (0.000, 0.000, 0.500) and Rh at (0.213, 0.250, 0.125).

The calculation puts the final energy at -110.57 eV for the cell shown.

3.
First-principles (PBE) data for crystalline TiSn2Rh4 at its relaxed geometry, as listed in Alexandria.

The structure belongs to space group Cmmm (No. 65); the cell edges are 7.207, 8.229 and 4.063 Å and the angles 90.00°, 90.00° and 90.00°. Symmetry generates all atoms from Ti at (0.000, 0.000, 0.000), Sn at (0.000, 0.292, 0.500), Rh at (0.212, 0.000, 0.500) and Rh at (0.250, 0.250, 0.000).

The calculation puts the offset from the most stable computed form at 0.000 eV/atom.

4.
First-principles (PBE) data for crystalline Ti2Sn2Rh3 at its relaxed geometry, as listed in Alexandria.

The structure belongs to space group C2/m (No. 12); the cell edges are 8.843, 4.297 and 6.463 Å and the angles 90.00°, 102.48° and 90.00°. Symmetry generates all atoms from Ti at (0.130, 0.000, 0.407), Sn at (0.086, 0.500, 0.770), Rh at (0.000, 0.000, 0.000) and Rh at (0.223, 0.500, 0.214).

The calculation puts the final energy at -98.32 eV for the cell shown.

5.
First-principles (PBE) data for crystalline Ti3SnRh3 at its relaxed geometry, as listed in Alexandria.

The structure belongs to space group P2_13 (No. 198); the cell edges are 7.735, 7.735 and 7.735 Å and the angles 90.00°, 90.00° and 90.00°. Symmetry generates all atoms from Ti at (0.115, 0.385, 0.615), Ti at (0.159, 0.841, 0.341), Ti at (0.217, 0.217, 0.217), Sn at (0.056, 0.556, 0.944) and Rh at (0.019, 0.196, 0.902).

The calculation puts the final energy at -215.14 eV for the cell shown.

6.
First-principles (PBE) data for crystalline TiSnRh4 at its relaxed geometry, as listed in Alexandria.

The structure belongs to space group P4/mmm (No. 123); the cell edges are 4.146, 4.146 and 6.184 Å and the angles 90.00°, 90.00° and 90.00°. Symmetry generates all atoms from Ti at (0.000, 0.000, 0.000), Sn at (0.500, 0.500, 0.500) and Rh at (0.000, 0.500, 0.233).

The calculation puts the final energy at -42.70 eV for the cell shown.

7.
First-principles (PBE) data for crystalline TiSn2Rh8 at its relaxed geometry, as listed in Alexandria.

The structure belongs to space group Immm (No. 71); the cell edges are 3.886, 7.716 and 11.806 Å and the angles 90.00°, 90.00° and 90.00°. Symmetry generates all atoms from Ti at (0.000, 0.000, 0.000), Sn at (0.000, 0.000, 0.348), Rh at (0.000, 0.243, 0.168), Rh at (0.000, 0.267, 0.500) and Rh at (0.000, 0.500, 0.335).

The calculation puts the final energy at -157.25 eV for the cell shown.

8.
First-principles (PBE) data for crystalline TiSn2Rh at its relaxed geometry, as listed in Alexandria.

The structure belongs to space group P4/mmm (No. 123); the cell edges are 4.386, 4.386 and 3.826 Å and the angles 90.00°, 90.00° and 90.00°. Symmetry generates all atoms from Ti at (0.000, 0.000, 0.000), Sn at (0.000, 0.500, 0.500) and Rh at (0.500, 0.500, 0.000).

The calculation puts the final energy at -24.42 eV for the cell shown.

9.
First-principles (PBE) data for crystalline TiSnRh at its relaxed geometry, as listed in Alexandria.

The structure belongs to space group F-43m (No. 216); the cell edges are 6.212, 6.212 and 6.212 Å and the angles 90.00°, 90.00° and 90.00°. Symmetry generates all atoms from Ti at (0.000, 0.000, 0.000), Sn at (0.250, 0.250, 0.750) and Rh at (0.250, 0.250, 0.250).

The calculation puts the final energy at -78.43 eV for the cell shown.

10.
First-principles (PBE) data for crystalline Ti2SnRh5 at its relaxed geometry, as listed in Alexandria.

The structure belongs to space group Pbam (No. 55); the cell edges are 5.516, 10.915 and 4.019 Å and the angles 90.00°, 90.00° and 90.00°. Symmetry generates all atoms from Ti at (0.183, 0.143, 0.000), Sn at (0.000, 0.500, 0.500), Rh at (0.000, 0.000, 0.500), Rh at (0.050, 0.749, 0.500) and Rh at (0.218, 0.380, 0.000).

The calculation puts the final energy at -125.04 eV for the cell shown.

11.
First-principles (PBE) data for crystalline TiSnRh at its relaxed geometry, as listed in Alexandria.

The structure belongs to space group Cm (No. 8); the cell edges are 7.670, 4.589 and 7.375 Å and the angles 90.00°, 119.81° and 90.00°. Symmetry generates all atoms from Ti at (0.000, 0.000, 0.000), Ti at (0.092, 0.000, 0.508), Sn at (0.057, 0.500, 0.769), Sn at (0.148, 0.500, 0.282), Rh at (0.287, 0.000, 0.913) and Rh at (0.341, 0.000, 0.351).

The calculation puts the final energy at -84.57 eV for the cell shown.

12.
First-principles (PBE) data for crystalline TiSn2Rh at its relaxed geometry, as listed in Alexandria.

The structure belongs to space group Fm-3m (No. 225); the cell edges are 6.683, 6.683 and 6.683 Å and the angles 90.00°, 90.00° and 90.00°. Symmetry generates all atoms from Ti at (0.000, 0.000, 0.000), Sn at (0.250, 0.250, 0.250) and Rh at (0.000, 0.000, 0.500).

The calculation puts the final energy at -96.60 eV for the cell shown.

13.
First-principles (PBE) data for crystalline TiSnRh at its relaxed geometry, as listed in Alexandria.

The structure belongs to space group P-6m2 (No. 187); the cell edges are 4.5156, 4.5156 and 2.9525 Å and the angles 90.00°, 90.00° and 120.00°. Symmetry generates all atoms from Ti at (0.0000, 0.0000, 0.0000), Sn at (0.3333, 0.6667, 0.5000) and Rh at (0.6667, 0.3333, 0.5000).

The calculation puts the final energy at -20.67 eV for the cell shown.

14.
First-principles (PBE) data for crystalline Ti6SnRh at its relaxed geometry, as listed in Alexandria.

The structure belongs to space group C2/m (No. 12); the cell edges are 7.727, 9.366 and 5.460 Å and the angles 90.00°, 134.66° and 90.00°. Symmetry generates all atoms from Ti at (0.000, 0.000, 0.248), Ti at (0.249, 0.229, 0.248), Sn at (0.000, 0.500, 0.000) and Rh at (0.000, 0.500, 0.500).

The calculation puts the final energy at -118.61 eV for the cell shown.

15.
First-principles (PBE) data for crystalline TiSnRh2 at its relaxed geometry, as listed in Alexandria.

The structure belongs to space group P4/mmm (No. 123); the cell edges are 3.302, 3.302 and 5.937 Å and the angles 90.00°, 90.00° and 90.00°. Symmetry generates all atoms from Ti at (0.000, 0.000, 0.000), Sn at (0.000, 0.000, 0.500) and Rh at (0.500, 0.500, 0.239).

The calculation puts the final energy at -28.96 eV for the cell shown.

16.
First-principles (PBE) data for crystalline TiSn2Rh6 at its relaxed geometry, as listed in Alexandria.

The structure belongs to space group C2/m (No. 12); the cell edges are 13.390, 6.087 and 4.190 Å and the angles 90.00°, 107.96° and 90.00°. Symmetry generates all atoms from Ti at (0.000, 0.000, 0.000), Sn at (0.166, 0.500, 0.664), Rh at (0.000, 0.236, 0.500) and Rh at (0.161, 0.238, 0.159).

The calculation puts the final energy at -123.61 eV for the cell shown.

17.
First-principles (PBE) data for crystalline Ti2SnRh8 at its relaxed geometry, as listed in Alexandria.

The structure belongs to space group C2/m (No. 12); the cell edges are 13.971, 3.936 and 6.212 Å and the angles 90.00°, 105.66° and 90.00°. Symmetry generates all atoms from Ti at (0.224, 0.000, 0.159), Sn at (0.000, 0.500, 0.500), Rh at (0.043, 0.000, 0.218), Rh at (0.098, 0.500, 0.968), Rh at (0.148, 0.000, 0.707) and Rh at (0.181, 0.500, 0.408).

The calculation puts the offset from the most stable computed form at 0.000 eV/atom.

18.
First-principles (PBE) data for crystalline TiSn2Rh2 at its relaxed geometry, as listed in Alexandria.

The structure belongs to space group P4/mbm (No. 127); the cell edges are 7.428, 7.428 and 3.245 Å and the angles 90.00°, 90.00° and 90.00°. Symmetry generates all atoms from Ti at (0.000, 0.000, 0.000), Sn at (0.161, 0.339, 0.500) and Rh at (0.138, 0.638, 0.000).

The calculation puts the final energy at -64.56 eV for the cell shown.

19.
First-principles (PBE) data for crystalline Tl2Sn2Rh at its relaxed geometry, as listed in Alexandria.

The structure belongs to space group P4/mbm (No. 127); the cell edges are 6.952, 6.952 and 5.490 Å and the angles 90.00°, 90.00° and 90.00°. Symmetry generates all atoms from Tl at (0.177, 0.323, 0.000), Sn at (0.155, 0.655, 0.500) and Rh at (0.000, 0.000, 0.500).

The calculation puts the final energy at -40.04 eV for the cell shown.

20.
First-principles (PBE) data for crystalline TlSn2Rh at its relaxed geometry, as listed in Alexandria.

The structure belongs to space group R-3m (No. 166, hexagonal axes); the cell edges are 3.3725, 3.3725 and 30.0164 Å and the angles 90.00°, 90.00° and 120.00°. Symmetry generates all atoms from Tl at (0.0000, 0.0000, 0.0000), Sn at (0.0000, 0.0000, 0.1031) and Rh at (0.0000, 0.0000, 0.5000).

The calculation puts the offset from the most stable computed form at 0.085 eV/atom.

21.
First-principles (PBE) data for crystalline TlSn2Rh2 at its relaxed geometry, as listed in Alexandria.

The structure belongs to space group I4/mmm (No. 139); the cell edges are 4.504, 4.504 and 11.318 Å and the angles 90.00°, 90.00° and 90.00°. Symmetry generates all atoms from Tl at (0.000, 0.000, 0.000), Sn at (0.000, 0.000, 0.368) and Rh at (0.000, 0.500, 0.250).

The calculation puts the offset from the most stable computed form at 0.093 eV/atom.

22.
First-principles (PBE) data for crystalline TlSn2Rh at its relaxed geometry, as listed in Alexandria.

The structure belongs to space group Fm-3m (No. 225); the cell edges are 7.124, 7.124 and 7.124 Å and the angles 90.00°, 90.00° and 90.00°. Symmetry generates all atoms from Tl at (0.000, 0.000, 0.000), Sn at (0.250, 0.250, 0.250) and Rh at (0.000, 0.000, 0.500).

The calculation puts the offset from the most stable computed form at 0.322 eV/atom.

23.
First-principles (PBE) data for crystalline Tl2SnRh2 at its relaxed geometry, as listed in Alexandria.

The structure belongs to space group P4/mbm (No. 127); the cell edges are 7.123, 7.123 and 3.977 Å and the angles 90.00°, 90.00° and 90.00°. Symmetry generates all atoms from Tl at (0.154, 0.346, 0.000), Sn at (0.000, 0.000, 0.500) and Rh at (0.150, 0.650, 0.500).

The calculation puts the final energy at -46.86 eV for the cell shown.

24.
First-principles (PBE) data for crystalline TlSn2Rh at its relaxed geometry, as listed in Alexandria.

The structure belongs to space group I-42d (No. 122); the cell edges are 4.991, 4.991 and 17.270 Å and the angles 90.00°, 90.00° and 90.00°. Symmetry generates all atoms from Tl at (0.000, 0.000, 0.000), Sn at (0.175, 0.250, 0.625) and Rh at (0.000, 0.000, 0.500).

The calculation puts the offset from the most stable computed form at 0.322 eV/atom.